Arrangement A

# Pr5Nd2Dy | Alexandria | PBE-GGA | optimized geometry
# Magnetization (μB/f.u.): 0.00
# D(E_F) (states/eV/f.u.): 11.54
data_Pr5Nd2Dy
_chemical_formula_sum 'Pr20 Nd8 Dy4'
_cell_length_a 6.376
_cell_length_b 28.874
_cell_length_c 6.714
_cell_angle_alpha 90.00
_cell_angle_beta 110.28
_cell_angle_gamma 90.00
_symmetry_space_group_name_H-M 'C 1 2/c 1'
_symmetry_Int_Tables_number 15
loop_
_symmetry_equiv_pos_as_xyz
'x,y,z'
'-x,-y,-z'
'-x,y,-z+1/2'
'x,-y,z+1/2'
'x+1/2,y+1/2,z'
'-x+1/2,-y+1/2,-z'
'-x+1/2,y+1/2,-z+1/2'
'x+1/2,-y+1/2,z+1/2'
loop_
_atom_site_label
_atom_site_type_symbol
_atom_site_fract_x
_atom_site_fract_y
_atom_site_fract_z
_atom_site_occupancy
Pr1 Pr 0.000 0.096 0.250 1
Pr2 Pr 0.200 0.390 0.086 1
Pr3 Pr 0.239 0.309 0.494 1
Nd1 Nd 0.000 0.000 0.000 1
Nd2 Nd 0.250 0.250 0.000 1
Dy1 Dy 0.000 0.489 0.750 1

***

Arrangement B

# Pr5Nd2Dy | Alexandria | PBE-GGA | optimized geometry
# Magnetization (μB/f.u.): 0.00
# D(E_F) (states/eV/f.u.): 12.49
data_Pr5Nd2Dy
_chemical_formula_sum 'Pr10 Nd4 Dy2'
_cell_length_a 7.358
_cell_length_b 14.752
_cell_length_c 5.213
_cell_angle_alpha 90.00
_cell_angle_beta 90.00
_cell_angle_gamma 90.00
_symmetry_space_group_name_H-M 'P b a m'
_symmetry_Int_Tables_number 55
loop_
_symmetry_equiv_pos_as_xyz
'x,y,z'
'-x,-y,-z'
'-x,-y,z'
'x,y,-z'
'x+1/2,-y+1/2,-z'
'-x+1/2,y+1/2,z'
'-x+1/2,y+1/2,-z'
'x+1/2,-y+1/2,z'
loop_
_atom_site_label
_atom_site_type_symbol
_atom_site_fract_x
_atom_site_fract_y
_atom_site_fract_z
_atom_site_occupancy
Pr1 Pr 0.000 0.000 0.000 1
Pr2 Pr 0.000 0.252 0.000 1
Pr3 Pr 0.249 0.376 0.500 1
Nd1 Nd 0.249 0.624 0.500 1
Dy1 Dy 0.000 0.500 0.000 1

***

Stability check: which of them is most stable? arrangement B.

***

Arrangement A

# Pr5Nd3Dy2 | Alexandria | PBE-GGA | optimized geometry
# Magnetization (μB/f.u.): 0.00
# D(E_F) (states/eV/f.u.): 14.36
data_Pr5Nd3Dy2
_chemical_formula_sum 'Pr10 Nd6 Dy4'
_cell_length_a 11.766
_cell_length_b 5.599
_cell_length_c 10.988
_cell_angle_alpha 90.00
_cell_angle_beta 98.42
_cell_angle_gamma 90.00
_symmetry_space_group_name_H-M 'C 1 2/m 1'
_symmetry_Int_Tables_number 12
loop_
_symmetry_equiv_pos_as_xyz
'x,y,z'
'-x,-y,-z'
'-x,y,-z'
'x,-y,z'
'x+1/2,y+1/2,z'
'-x+1/2,-y+1/2,-z'
'-x+1/2,y+1/2,-z'
'x+1/2,-y+1/2,z'
loop_
_atom_site_label
_atom_site_type_symbol
_atom_site_fract_x
_atom_site_fract_y
_atom_site_fract_z
_atom_site_occupancy
Pr1 Pr 0.000 0.000 0.000 1
Pr2 Pr 0.140 0.000 0.262 1
Pr3 Pr 0.177 0.500 0.447 1
Nd1 Nd 0.000 0.000 0.500 1
Nd2 Nd 0.234 0.500 0.107 1
Dy1 Dy 0.064 0.500 0.774 1

***

Arrangement B

# Pr5Nd3Dy2 | Alexandria | PBE-GGA | optimized geometry
# Magnetization (μB/f.u.): 0.00
# D(E_F) (states/eV/f.u.): 14.59
data_Pr5Nd3Dy2
_chemical_formula_sum 'Pr20 Nd12 Dy8'
_cell_length_a 9.598
_cell_length_b 13.863
_cell_length_c 11.231
_cell_angle_alpha 90.00
_cell_angle_beta 90.00
_cell_angle_gamma 90.00
_symmetry_space_group_name_H-M 'I b a m'
_symmetry_Int_Tables_number 72
_symmetry_space_group_name_Hall '-I 2 2c'
loop_
_atom_site_label
_atom_site_type_symbol
_atom_site_fract_x
_atom_site_fract_y
_atom_site_fract_z
_atom_site_occupancy
Pr1 Pr 0.000 0.000 0.250 1
Pr2 Pr 0.000 0.251 0.250 1
Pr3 Pr 0.103 0.123 0.000 1
Nd1 Nd 0.000 0.500 0.250 1
Nd2 Nd 0.250 0.125 0.500 1
Dy1 Dy 0.085 0.376 0.500 1

***

Stability check: which of them is most stable? arrangement A.